Entry 1:
Material: LiCrTe
Method: DFT, GGA-PBEsol
State: optimized geometry

It has space group P3m1 (No. 156), with a = 4.5118 Å, b = 4.5118 Å, c = 4.0180 Å, α = 90.00°, β = 90.00° and γ = 120.00°. The asymmetric unit holds Li at (0.0000, 0.0000, 0.0000), Cr at (0.3333, 0.6667, 0.5295) and Te at (0.6667, 0.3333, 0.3878).

The value obtained for the volume is 23.61 Å³/atom. The uncorrected formation energy comes out at 0.115 eV/atom.

=====

Entry 2:
Material: LiCr2Te
Method: DFT, GGA-PBEsol
State: optimized geometry

It has space group P4mm (No. 99), with a = 3.3734 Å, b = 3.3734 Å, c = 5.6951 Å, α = 90.00°, β = 90.00° and γ = 90.00°. The asymmetric unit holds Li at (0.0000, 0.0000, 0.0000), Cr at (0.0000, 0.0000, 0.5346), Cr at (0.5000, 0.5000, 0.7261) and Te at (0.5000, 0.5000, 0.2466).

The value obtained for the volume is 16.20 Å³/atom. The uncorrected formation energy comes out at 0.270 eV/atom.

=====

Entry 3:
Material: LiCrTe2
Method: DFT, GGA-PBEsol
State: optimized geometry

It has space group R-3m (No. 166, hexagonal axes), with a = 3.9486 Å, b = 3.9486 Å, c = 20.0488 Å, α = 90.00°, β = 90.00° and γ = 120.00°. The asymmetric unit holds Li at (0.0000, 0.0000, 0.0000), Cr at (0.0000, 0.0000, 0.5000) and Te at (0.0000, 0.0000, 0.2407).

The value obtained for the volume is 22.56 Å³/atom. The uncorrected formation energy comes out at -0.437 eV/atom.

=====

Entry 4:
Material: Li4CrTe
Method: DFT, GGA-PBEsol
State: optimized geometry

It has space group F-43m (No. 216), with a = 7.4897 Å, b = 7.4897 Å, c = 7.4897 Å, α = 90.00°, β = 90.00° and γ = 90.00°. The asymmetric unit holds Li at (0.1243, 0.1243, 0.1243), Cr at (0.2500, 0.2500, 0.7500) and Te at (0.0000, 0.0000, 0.5000).

The value obtained for the volume is 17.51 Å³/atom. The uncorrected formation energy comes out at 0.126 eV/atom.

=====

Entry 5:
Material: LiTlCr2
Method: DFT, GGA-PBEsol
State: optimized geometry

It has space group P4mm (No. 99), with a = 3.0656 Å, b = 3.0656 Å, c = 6.4369 Å, α = 90.00°, β = 90.00° and γ = 90.00°. The asymmetric unit holds Li at (0.0000, 0.0000, 0.0000), Tl at (0.5000, 0.5000, 0.2660), Cr at (0.0000, 0.0000, 0.5784) and Cr at (0.5000, 0.5000, 0.7326).

The value obtained for the volume is 15.12 Å³/atom. The formation energy comes out at 328 meV per atom.

=====

Entry 6:
Material: LiTl2Cr
Method: DFT, GGA-PBEsol
State: optimized geometry

It has space group P4mm (No. 99), with a = 3.7348 Å, b = 3.7348 Å, c = 5.9613 Å, α = 90.00°, β = 90.00° and γ = 90.00°. The asymmetric unit holds Li at (0.0000, 0.0000, 0.0000), Tl at (0.0000, 0.0000, 0.5305), Tl at (0.5000, 0.5000, 0.2185) and Cr at (0.5000, 0.5000, 0.7382).

The value obtained for the volume is 20.79 Å³/atom. The formation energy comes out at 321 meV per atom.

=====

Entry 7:
Material: LiTlCr2
Method: DFT, GGA-PBEsol
State: optimized geometry

It has space group P2/m (No. 10), with a = 2.8136 Å, b = 4.6463 Å, c = 4.6110 Å, α = 90.00°, β = 98.16° and γ = 90.00°. The asymmetric unit holds Li at (0.0000, 0.0000, 0.0000), Tl at (0.5000, 0.0000, 0.5000) and Cr at (0.3160, 0.5000, 0.8068).

The value obtained for the volume is 14.92 Å³/atom. The formation energy comes out at 621 meV per atom.

=====

Entry 8:
Material: LiCrW2
Method: DFT, GGA-PBEsol
State: optimized geometry

It has space group I4/mmm (No. 139), with a = 4.1004 Å, b = 4.1004 Å, c = 6.3235 Å, α = 90.00°, β = 90.00° and γ = 90.00°. The asymmetric unit holds Li at (0.0000, 0.0000, 0.0000), Cr at (0.0000, 0.0000, 0.5000) and W at (0.0000, 0.5000, 0.2500).

The value obtained for the volume is 13.29 Å³/atom. The formation energy comes out at 521 meV per atom. The excess energy over the best structure of this formula in the dataset is 0.332 eV/f.u.

=====

Entry 9:
Material: LiCrW2
Method: DFT, GGA-PBEsol
State: optimized geometry

It has space group F-43m (No. 216), with a = 6.0690 Å, b = 6.0690 Å, c = 6.0690 Å, α = 90.00°, β = 90.00° and γ = 90.00°. The asymmetric unit holds Li at (0.0000, 0.0000, 0.0000), Cr at (0.2500, 0.2500, 0.2500), W at (0.0000, 0.0000, 0.5000) and W at (0.2500, 0.2500, 0.7500).

The value obtained for the volume is 13.97 Å³/atom. The formation energy comes out at 553 meV per atom. The excess energy over the best structure of this formula in the dataset is 0.460 eV/f.u.

=====

Entry 10:
Material: LiCrW2
Method: DFT, GGA-PBEsol
State: optimized geometry

It has space group P2/m (No. 10), with a = 2.5869 Å, b = 4.2169 Å, c = 5.1331 Å, α = 90.00°, β = 98.94° and γ = 90.00°. The asymmetric unit holds Li at (0.0000, 0.0000, 0.0000), Cr at (0.5000, 0.0000, 0.5000) and W at (0.2386, 0.5000, 0.7455).

The value obtained for the volume is 13.83 Å³/atom. The formation energy comes out at 438 meV per atom. The excess energy over the best structure of this formula in the dataset is 0.000 eV/f.u.

=====

Entry 11:
Material: LiCrW2
Method: DFT, GGA-PBEsol
State: optimized geometry

It has space group P4/mmm (No. 123), with a = 3.0403 Å, b = 3.0403 Å, c = 5.7302 Å, α = 90.00°, β = 90.00° and γ = 90.00°. The asymmetric unit holds Li at (0.0000, 0.0000, 0.0000), Cr at (0.0000, 0.0000, 0.5000) and W at (0.5000, 0.5000, 0.2512).

The value obtained for the volume is 13.24 Å³/atom. The formation energy comes out at 562 meV per atom. The excess energy over the best structure of this formula in the dataset is 0.497 eV/f.u.

=====

Entry 12:
Material: LiCr2W
Method: DFT, GGA-PBEsol
State: optimized geometry

It has space group Pm (No. 6), with a = 2.5053 Å, b = 4.1144 Å, c = 4.9312 Å, α = 90.00°, β = 99.37° and γ = 90.00°. The asymmetric unit holds Li at (0.0000, 0.0000, 0.0000), Cr at (0.1919, 0.5000, 0.7457), Cr at (0.4323, 0.0000, 0.5223) and W at (0.7135, 0.5000, 0.2600).

The value obtained for the volume is 12.54 Å³/atom. The formation energy comes out at 449 meV per atom.

=====

Entry 13:
Material: LiCrW
Method: DFT, GGA-PBEsol
State: optimized geometry

It has space group Fmm2 (No. 42), with a = 2.9743 Å, b = 4.2218 Å, c = 13.5062 Å, α = 90.00°, β = 90.00° and γ = 90.00°. The asymmetric unit holds Li at (0.0000, 0.0000, 0.0000), Cr at (0.0000, 0.0000, 0.6672) and W at (0.0000, 0.0000, 0.3202).

The value obtained for the volume is 14.13 Å³/atom. The formation energy comes out at 486 meV per atom.

=====

Entry 14:
Material: LiYCr2
Method: DFT, GGA-PBEsol
State: optimized geometry

It has space group R-3m (No. 166, hexagonal axes), with a = 2.7089 Å, b = 2.7089 Å, c = 29.6863 Å, α = 90.00°, β = 90.00° and γ = 120.00°. The asymmetric unit holds Li at (0.0000, 0.0000, 0.0000), Y at (0.0000, 0.0000, 0.5000) and Cr at (0.0000, 0.0000, 0.2548).

The value obtained for the volume is 15.72 Å³/atom. The formation energy comes out at 1083 meV per atom.

=====

Entry 15:
Material: LiZn2Cr
Method: DFT, GGA-PBEsol
State: optimized geometry

It has space group Pmm2 (No. 25), with a = 2.4908 Å, b = 4.0713 Å, c = 5.2255 Å, α = 90.00°, β = 90.00° and γ = 90.00°. The asymmetric unit holds Li at (0.0000, 0.0000, 0.0000), Zn at (0.0000, 0.0000, 0.5072), Zn at (0.5000, 0.5000, 0.2302) and Cr at (0.5000, 0.5000, 0.7280).

The value obtained for the volume is 13.25 Å³/atom. The formation energy comes out at 233 meV per atom.

=====

Entry 16:
Material: LiZrCr2
Method: DFT, GGA-PBEsol
State: optimized geometry

It has space group Imm2 (No. 44), with a = 3.1432 Å, b = 4.5578 Å, c = 8.2399 Å, α = 90.00°, β = 90.00° and γ = 90.00°. The asymmetric unit holds Li at (0.0000, 0.0000, 0.0000), Zr at (0.0000, 0.5000, 0.7830), Cr at (0.0000, 0.0000, 0.5487) and Cr at (0.0000, 0.5000, 0.2282).

The value obtained for the volume is 14.76 Å³/atom. The formation energy comes out at 443 meV per atom.

=====

Entry 17:
Material: LiZr2Cr
Method: DFT, GGA-PBEsol
State: optimized geometry

It has space group Imm2 (No. 44), with a = 3.1975 Å, b = 4.6676 Å, c = 9.5438 Å, α = 90.00°, β = 90.00° and γ = 90.00°. The asymmetric unit holds Li at (0.0000, 0.0000, 0.0000), Zr at (0.0000, 0.0000, 0.5407), Zr at (0.0000, 0.5000, 0.7665) and Cr at (0.0000, 0.5000, 0.2787).

The value obtained for the volume is 17.80 Å³/atom. The formation energy comes out at 363 meV per atom.

=====

Entry 18:
Material: LiZr2Cr
Method: DFT, GGA-PBEsol
State: optimized geometry

It has space group P4mm (No. 99), with a = 3.2126 Å, b = 3.2126 Å, c = 7.0757 Å, α = 90.00°, β = 90.00° and γ = 90.00°. The asymmetric unit holds Li at (0.0000, 0.0000, 0.0000), Zr at (0.0000, 0.0000, 0.5692), Zr at (0.5000, 0.5000, 0.2749) and Cr at (0.5000, 0.5000, 0.8057).

The value obtained for the volume is 18.26 Å³/atom. The formation energy comes out at 393 meV per atom.

=====

Entry 19:
Material: LiZrCr4
Method: DFT, GGA-PBEsol
State: optimized geometry

It has space group F-43m (No. 216), with a = 6.8859 Å, b = 6.8859 Å, c = 6.8859 Å, α = 90.00°, β = 90.00° and γ = 90.00°. The asymmetric unit holds Li at (0.0000, 0.0000, 0.0000), Zr at (0.2500, 0.2500, 0.7500) and Cr at (0.1255, 0.1255, 0.3745).

The value obtained for the volume is 13.60 Å³/atom. The formation energy comes out at 381 meV per atom.

=====

Entry 20:
Material: LiZrCr2
Method: DFT, GGA-PBEsol
State: optimized geometry

It has space group P2/m (No. 10), with a = 2.7213 Å, b = 4.5385 Å, c = 4.6415 Å, α = 90.00°, β = 97.29° and γ = 90.00°. The asymmetric unit holds Li at (0.0000, 0.0000, 0.0000), Zr at (0.5000, 0.0000, 0.5000) and Cr at (0.1914, 0.5000, 0.7285).

The value obtained for the volume is 14.22 Å³/atom. The formation energy comes out at 593 meV per atom.

=====

Entry 21:
Material: LiZrCr2
Method: DFT, GGA-PBEsol
State: optimized geometry

It has space group P4mm (No. 99), with a = 2.9222 Å, b = 2.9222 Å, c = 7.2988 Å, α = 90.00°, β = 90.00° and γ = 90.00°. The asymmetric unit holds Li at (0.0000, 0.0000, 0.0000), Zr at (0.5000, 0.5000, 0.3339), Cr at (0.0000, 0.0000, 0.5925) and Cr at (0.5000, 0.5000, 0.7501).

The value obtained for the volume is 15.58 Å³/atom. The formation energy comes out at 336 meV per atom.

=====

Entry 22:
Material: YLuCr2O8
Method: DFT, GGA-PBEsol
State: optimized geometry

It has space group I-4m2 (No. 119), with a = 7.0167 Å, b = 7.0167 Å, c = 6.1510 Å, α = 90.00°, β = 90.00° and γ = 90.00°. The asymmetric unit holds Y at (0.0000, 0.0000, 0.0000), Lu at (0.0000, 0.5000, 0.2500), Cr at (0.0000, 0.0000, 0.5000), Cr at (0.0000, 0.5000, 0.7500), O at (0.0000, 0.1873, 0.3259) and O at (0.0000, 0.3173, 0.9293).

The value obtained for the volume is 12.62 Å³/atom. The uncorrected formation energy comes out at -2.643 eV/atom.

=====

Entry 23:
Material: Lu3CrS6
Method: DFT, GGA-PBEsol
State: optimized geometry

It has space group Pnnm (No. 58), with a = 12.8774 Å, b = 15.5034 Å, c = 3.6458 Å, α = 90.00°, β = 90.00° and γ = 90.00°. The asymmetric unit holds Lu at (0.0509, 0.2223, 0.0000), Lu at (0.1806, 0.6476, 0.0000), Lu at (0.2418, 0.9021, 0.5000), Cr at (0.0000, 0.0000, 0.5000), Cr at (0.0000, 0.5000, 0.5000), S at (0.0229, 0.4014, 0.0000), S at (0.0817, 0.9224, 0.0000), S at (0.1034, 0.7540, 0.5000), S at (0.1209, 0.1098, 0.5000), S at (0.1826, 0.5203, 0.5000) and S at (0.1897, 0.2900, 0.5000).

The value obtained for the volume is 18.20 Å³/atom. The uncorrected formation energy comes out at -1.761 eV/atom.

=====

Entry 24:
Material: Mg2Cr
Method: DFT, GGA-PBEsol
State: optimized geometry

It has space group P6/mmm (No. 191), with a = 4.7811 Å, b = 4.7811 Å, c = 2.9186 Å, α = 90.00°, β = 90.00° and γ = 120.00°. The asymmetric unit holds Mg at (0.3333, 0.6667, 0.0000) and Cr at (0.0000, 0.0000, 0.5000).

The value obtained for the volume is 19.26 Å³/atom. The formation energy comes out at 526 meV per atom.

=====

Entry 25:
Material: MgCr3
Method: DFT, GGA-PBEsol
State: optimized geometry

It has space group P4/mmm (No. 123), with a = 2.9001 Å, b = 2.9001 Å, c = 6.3695 Å, α = 90.00°, β = 90.00° and γ = 90.00°. The asymmetric unit holds Mg at (0.0000, 0.0000, 0.0000), Cr at (0.0000, 0.0000, 0.5000) and Cr at (0.5000, 0.5000, 0.2971).

The value obtained for the volume is 13.39 Å³/atom. The formation energy comes out at 419 meV per atom.

=====

Entry 26:
Material: MgCr3
Method: DFT, GGA-PBEsol
State: optimized geometry

It has space group Pmm2 (No. 25), with a = 2.3925 Å, b = 4.2605 Å, c = 4.9561 Å, α = 90.00°, β = 90.00° and γ = 90.00°. The asymmetric unit holds Mg at (0.0000, 0.0000, 0.0000), Cr at (0.0000, 0.5000, 0.7075), Cr at (0.5000, 0.0000, 0.4960) and Cr at (0.5000, 0.5000, 0.2392).

The value obtained for the volume is 12.63 Å³/atom. The formation energy comes out at 609 meV per atom.

=====

Entry 27:
Material: Mg3Cr
Method: DFT, GGA-PBEsol
State: optimized geometry

It has space group Pmm2 (No. 25), with a = 3.0943 Å, b = 4.9133 Å, c = 5.2901 Å, α = 90.00°, β = 90.00° and γ = 90.00°. The asymmetric unit holds Mg at (0.0000, 0.0000, 0.0000), Mg at (0.0000, 0.5000, 0.3384), Mg at (0.5000, 0.5000, 0.8217) and Cr at (0.5000, 0.0000, 0.4964).

The value obtained for the volume is 20.11 Å³/atom. The formation energy comes out at 367 meV per atom.

=====

Entry 28:
Material: Mg2Cr3
Method: DFT, GGA-PBEsol
State: optimized geometry

It has space group R-3m (No. 166, hexagonal axes), with a = 2.7143 Å, b = 2.7143 Å, c = 34.4514 Å, α = 90.00°, β = 90.00° and γ = 120.00°. The asymmetric unit holds Mg at (0.0000, 0.0000, 0.0424), Cr at (0.0000, 0.0000, 0.4411) and Cr at (0.0000, 0.0000, 0.5000).

The value obtained for the volume is 14.65 Å³/atom. The formation energy comes out at 732 meV per atom.